# 1
LiHo2S3: relaxed, PBE.

Structure (POSCAR):
```
LiHo2S3
1.0
4.161 2.014 4.798
-2.346 3.349 5.261
-0.263 -5.611 -3.584
S Ho Li
3 2 1
Direct
0.000 0.500 0.500 S
0.663 0.163 0.500 S
0.337 0.837 0.500 S
0.165 0.165 0.000 Ho
0.835 0.835 0.000 Ho
0.500 0.500 0.000 Li
```

Computed properties:
As for the total energy: -5.816 eV/atom. The calculation puts the size of the total moment at 0.00 μB per atom. The space group is Immm.



# 2
LiHoSeS: relaxed, PBE.

Structure (POSCAR):
```
LiHoSeS
1.0
-5.388 -3.367 2.071
-3.047 -2.843 5.223
-5.372 0.108 3.972
Li S Ho Se
1 1 1 1
Direct
0.499 0.499 0.499 Li
0.750 0.750 0.750 S
0.004 0.004 0.004 Ho
0.247 0.247 0.247 Se
```

Computed properties:
As for the total energy: -5.296 eV/atom. The calculation puts the size of the total moment at 0.00 μB per atom. The space group is R3m.



Question: What is the size of the total moment in the first record?
Answer: 0.00 μB per atom



Question: Look up the size of the total moment of the second one.
Answer: 0.00 μB per atom



Repeat the second record exactly.
LiHoSeS: relaxed, PBE.

Structure (POSCAR):
```
LiHoSeS
1.0
-5.388 -3.367 2.071
-3.047 -2.843 5.223
-5.372 0.108 3.972
Li S Ho Se
1 1 1 1
Direct
0.499 0.499 0.499 Li
0.750 0.750 0.750 S
0.004 0.004 0.004 Ho
0.247 0.247 0.247 Se
```

Computed properties:
As for the total energy: -5.296 eV/atom. The calculation puts the size of the total moment at 0.00 μB per atom. The space group is R3m.



Question: size of the total moment of number 1 (LiHo2S3)?
Answer: 0.00 μB per atom